No. 1
Compound: CrAs2Pb2
Source: the Alexandria database
Functional: PBE
Structure: relaxed

CIF file:
```
data_CrAs2Pb2
_chemical_formula_sum 'Cr2 As4 Pb4'
_cell_length_a 4.1988
_cell_length_b 4.1988
_cell_length_c 14.8384
_cell_angle_alpha 90.00
_cell_angle_beta 90.00
_cell_angle_gamma 90.00
_space_group_name_H-M_alt 'I 4/m m m'
_space_group_IT_number 139
_space_group_name_Hall '-I 4 2'
loop_
_atom_site_label
_atom_site_type_symbol
_atom_site_fract_x
_atom_site_fract_y
_atom_site_fract_z
Cr1 Cr 0.0000 0.0000 0.0000
As1 As 0.0000 0.0000 0.4194
Pb1 Pb 0.0000 0.5000 0.2500
```

Summary:
ΔH_f (0 K)   0.985 eV per atom
Polymorph energy (0 for the lowest one)   893 meV/atom
DOS(E_F)   1.531 states/eV per atom


No. 2
Compound: HoPu2Rh9
Source: the Alexandria database
Functional: PBE
Structure: relaxed

CIF file:
```
data_HoPu2Rh9
_chemical_formula_sum 'Ho3 Pu6 Rh27'
_cell_length_a 5.2437
_cell_length_b 5.2437
_cell_length_c 26.3414
_cell_angle_alpha 90.00
_cell_angle_beta 90.00
_cell_angle_gamma 120.00
_space_group_name_H-M_alt 'R -3 m'
_space_group_IT_number 166
_space_group_name_Hall '-R 3 2"'
loop_
_atom_site_label
_atom_site_type_symbol
_atom_site_fract_x
_atom_site_fract_y
_atom_site_fract_z
Ho1 Ho 0.0000 0.0000 0.0000
Pu1 Pu 0.0000 0.0000 0.1400
Rh1 Rh 0.0000 0.0000 0.3333
Rh2 Rh 0.0000 0.0000 0.5000
Rh3 Rh 0.0027 0.5013 0.9168
```

Summary:
ΔH_f (0 K)   -0.425 eV per atom
DOS(E_F)   2.137 states/eV per atom


No. 3
Compound: ReNi3Ir
Source: the Alexandria database
Functional: PBE
Structure: relaxed

CIF file:
```
data_ReNi3Ir
_chemical_formula_sum 'Re1 Ni3 Ir1'
_cell_length_a 4.4428
_cell_length_b 4.4428
_cell_length_c 4.4428
_cell_angle_alpha 90.00
_cell_angle_beta 90.00
_cell_angle_gamma 90.00
_space_group_name_H-M_alt 'P m -3 m'
_space_group_IT_number 221
_space_group_name_Hall '-P 4 2 3'
loop_
_atom_site_label
_atom_site_type_symbol
_atom_site_fract_x
_atom_site_fract_y
_atom_site_fract_z
Re1 Re 0.0000 0.0000 0.0000
Ni1 Ni 0.0000 0.5000 0.5000
Ir1 Ir 0.5000 0.5000 0.5000
```

Summary:
ΔH_f (0 K)   1.856 eV per atom
Polymorph energy (0 for the lowest one)   1540 meV/atom
DOS(E_F)   1.280 states/eV per atom


No. 4
Compound: Ca2AuO
Source: the Alexandria database
Functional: PBE
Structure: relaxed

CIF file:
```
data_Ca2AuO
_chemical_formula_sum 'Ca8 Au4 O4'
_cell_length_a 6.7414
_cell_length_b 6.7414
_cell_length_c 8.2226
_cell_angle_alpha 90.00
_cell_angle_beta 90.00
_cell_angle_gamma 90.00
_space_group_name_H-M_alt 'I -4 2 d'
_space_group_IT_number 122
_space_group_name_Hall 'I -4 2bw'
loop_
_atom_site_label
_atom_site_type_symbol
_atom_site_fract_x
_atom_site_fract_y
_atom_site_fract_z
Ca1 Ca 0.1555 0.2500 0.1250
Au1 Au 0.0000 0.0000 0.5000
O1 O 0.0000 0.0000 0.0000
```

Summary:
DOS(E_F)   0.453 states/eV per atom
Uncorrected formation energy   -6.63 eV/f.u.


No. 5
Compound: ZrSi2Hg
Source: the Alexandria database
Functional: PBE
Structure: relaxed

CIF file:
```
data_ZrSi2Hg
_chemical_formula_sum 'Zr4 Si8 Hg4'
_cell_length_a 7.2387
_cell_length_b 7.2387
_cell_length_c 6.0438
_cell_angle_alpha 90.00
_cell_angle_beta 90.00
_cell_angle_gamma 90.00
_space_group_name_H-M_alt 'I -4 2 d'
_space_group_IT_number 122
_space_group_name_Hall 'I -4 2bw'
loop_
_atom_site_label
_atom_site_type_symbol
_atom_site_fract_x
_atom_site_fract_y
_atom_site_fract_z
Zr1 Zr 0.0000 0.0000 0.0000
Si1 Si 0.2323 0.2500 0.6250
Hg1 Hg 0.0000 0.0000 0.5000
```

Summary:
Polymorph energy (0 for the lowest one)   327 meV/atom
DOS(E_F)   0.434 states/eV per atom
Uncorrected formation energy   0.88 eV/f.u.


No. 6
Compound: OsAuCl2
Source: the Alexandria database
Functional: PBE
Structure: relaxed

CIF file:
```
data_OsAuCl2
_chemical_formula_sum 'Os1 Au1 Cl2'
_cell_length_a 2.9395
_cell_length_b 4.3049
_cell_length_c 5.8448
_cell_angle_alpha 90.00
_cell_angle_beta 90.00
_cell_angle_gamma 90.00
_space_group_name_H-M_alt 'P m m m'
_space_group_IT_number 47
loop_
_space_group_symop_operation_xyz
'x,y,z'
'-x,-y,-z'
'-x,-y,z'
'x,y,-z'
'x,-y,-z'
'-x,y,z'
'-x,y,-z'
'x,-y,z'
loop_
_atom_site_label
_atom_site_type_symbol
_atom_site_fract_x
_atom_site_fract_y
_atom_site_fract_z
Os1 Os 0.0000 0.0000 0.0000
Au1 Au 0.5000 0.0000 0.5000
Cl1 Cl 0.0000 0.5000 0.5000
Cl2 Cl 0.5000 0.5000 0.0000
```

Summary:
Polymorph energy (0 for the lowest one)   771 meV/atom
DOS(E_F)   1.063 states/eV per atom
Uncorrected formation energy   3.97 eV/f.u.


No. 7
Compound: Pt2BrF2
Source: the Alexandria database
Functional: PBE
Structure: relaxed

CIF file:
```
data_Pt2BrF2
_chemical_formula_sum 'Pt4 Br2 F4'
_cell_length_a 3.7724
_cell_length_b 3.7724
_cell_length_c 11.1056
_cell_angle_alpha 90.00
_cell_angle_beta 90.00
_cell_angle_gamma 90.00
_space_group_name_H-M_alt 'I 4/m m m'
_space_group_IT_number 139
_space_group_name_Hall '-I 4 2'
loop_
_atom_site_label
_atom_site_type_symbol
_atom_site_fract_x
_atom_site_fract_y
_atom_site_fract_z
Pt1 Pt 0.0000 0.0000 0.1120
Br1 Br 0.0000 0.0000 0.5000
F1 F 0.0000 0.5000 0.2500
```

Summary:
Polymorph energy (0 for the lowest one)   110 meV/atom
DOS(E_F)   0.759 states/eV per atom
Uncorrected formation energy   0.26 eV/f.u.


No. 8
Compound: Sr3Hg2Pd3
Source: the Alexandria database
Functional: PBE
Structure: relaxed

CIF file:
```
data_Sr3Hg2Pd3
_chemical_formula_sum 'Sr12 Hg8 Pd12'
_cell_length_a 4.5883
_cell_length_b 11.9039
_cell_length_c 15.4366
_cell_angle_alpha 90.00
_cell_angle_beta 90.00
_cell_angle_gamma 90.00
_space_group_name_H-M_alt 'C m c m'
_space_group_IT_number 63
_space_group_name_Hall '-C 2c 2'
loop_
_atom_site_label
_atom_site_type_symbol
_atom_site_fract_x
_atom_site_fract_y
_atom_site_fract_z
Sr1 Sr 0.0000 0.0783 0.1071
Sr2 Sr 0.0000 0.3566 0.2500
Hg1 Hg 0.0000 0.2175 0.5943
Pd1 Pd 0.0000 0.3516 0.7500
Pd2 Pd 0.0000 0.3987 0.0406
```

Summary:
ΔH_f (0 K)   -0.585 eV per atom
DOS(E_F)   0.365 states/eV per atom